[1]
## AcTbAlPd (PBE)

Data for a relaxed AcTbAlPd crystal.

Unit cell a=7.507 b=7.507 c=7.507 alpha=90.00 beta=90.00 gamma=90.00
Space group F-43m (No. 216)
Inequivalent atoms, fractional coordinates:
Ac 0.000 0.000 0.000 [4 per cell]
Tb 0.000 0.000 0.500 [4 per cell]
Al 0.250 0.250 0.750 [4 per cell]
Pd 0.250 0.250 0.250 [4 per cell]

## Properties
DOS at the Fermi energy in states/eV/atom: 0.90
Total DFT energy (no corrections) in eV per atom: -4.848
DFT formation energy in eV/atom: -0.43
Size of the total moment in μB per formula unit: 0.00

[2]
## Ca4HgPb3 (PBE)

Data for a relaxed Ca4HgPb3 crystal.

Unit cell a=7.798 b=7.799 c=8.737 alpha=90.00 beta=116.37 gamma=90.00
Space group C2/m (No. 12)
Inequivalent atoms, fractional coordinates:
Ca 0.127 0.250 0.255 [8 per cell]
Hg 0.000 0.000 0.500 [2 per cell]
Pb 0.000 0.500 0.500 [2 per cell]
Pb 0.249 0.000 0.997 [4 per cell]

## Properties
DOS at the Fermi energy in states/eV/atom: 0.33
Total DFT energy (no corrections) in eV per atom: -2.982
DFT formation energy in eV/atom: -0.55
Size of the total moment in μB per formula unit: 0.00

[3]
## SiSbW2 (PBE)

Data for a relaxed SiSbW2 crystal.

Unit cell a=5.760 b=8.576 c=3.035 alpha=90.00 beta=113.81 gamma=90.00
Space group C2/m (No. 12)
Inequivalent atoms, fractional coordinates:
Si 0.000 0.000 0.000 [2 per cell]
Sb 0.000 0.500 0.000 [2 per cell]
W 0.250 0.250 0.500 [4 per cell]

## Properties
DOS at the Fermi energy in states/eV/atom: 0.82
Total DFT energy (no corrections) in eV per atom: -8.136
E_form (uncorrected) in kJ per mole of atoms: 70.2
Energy above the lowest structure with this stoichiometry in kJ/mol of formula units: 216.2
Size of the total moment in μB per formula unit: 0.00

[4]
## KMgAlB2 (PBE)

Data for a relaxed KMgAlB2 crystal.

Unit cell a=4.918 b=4.918 c=5.481 alpha=90.00 beta=90.00 gamma=90.00
Space group P4/mmm (No. 123)
Inequivalent atoms, fractional coordinates:
K 0.000 0.000 0.000 [1 per cell]
Mg 0.500 0.500 0.500 [1 per cell]
Al 0.000 0.000 0.500 [1 per cell]
B 0.000 0.500 0.000 [2 per cell]

## Properties
DOS at the Fermi energy in states/eV/atom: 0.82
Total DFT energy (no corrections) in eV per atom: -1.461
DFT formation energy in eV/atom: 2.50
Size of the total moment in μB per formula unit: 0.00

[5]
## HoSiSn (PBE)

Data for a relaxed HoSiSn crystal.

Unit cell a=4.278 b=16.214 c=3.948 alpha=90.00 beta=90.00 gamma=90.00
Space group Cmcm (No. 63)
Inequivalent atoms, fractional coordinates:
Ho 0.000 0.093 0.250 [4 per cell]
Si 0.000 0.453 0.250 [4 per cell]
Sn 0.000 0.258 0.750 [4 per cell]

## Properties
DOS at the Fermi energy in states/eV/atom: 0.41
Total DFT energy (no corrections) in eV per atom: -5.217
E_form (uncorrected) in kJ per mole of atoms: -53.0
Size of the total moment in μB per formula unit: 0.00

[6]
## CsRbPS4 (PBE)

Data for a relaxed CsRbPS4 crystal.

Unit cell a=7.412 b=5.676 c=12.033 alpha=90.00 beta=96.76 gamma=90.00
Space group P2_1/m (No. 11)
Inequivalent atoms, fractional coordinates:
Cs 0.238 0.250 0.478 [2 per cell]
Rb 0.243 0.250 0.917 [2 per cell]
P 0.300 0.750 0.228 [2 per cell]
S 0.086 0.750 0.319 [2 per cell]
S 0.224 0.750 0.063 [2 per cell]
S 0.495 0.007 0.278 [4 per cell]

## Properties
DOS at the Fermi energy in states/eV/atom: 0.66
Total DFT energy (no corrections) in eV per atom: -4.167
E_form (uncorrected) in kJ per mole of atoms: -74.8
Size of the total moment in μB per formula unit: 0.00

[7]
## BaTiZnF2 (PBE)

Data for a relaxed BaTiZnF2 crystal.

Unit cell a=4.816 b=4.816 c=7.344 alpha=90.00 beta=90.00 gamma=90.00
Space group P4/mmm (No. 123)
Inequivalent atoms, fractional coordinates:
Ba 0.000 0.000 0.000 [1 per cell]
Ti 0.500 0.500 0.500 [1 per cell]
Zn 0.000 0.000 0.500 [1 per cell]
F 0.000 0.500 0.000 [2 per cell]

## Properties
DOS at the Fermi energy in states/eV/atom: 1.42
Total DFT energy (no corrections) in eV per atom: -4.101
E_form (uncorrected) in kJ per mole of atoms: -109.4
Size of the total moment in μB per formula unit: 3.19

[8]
## LaTa2Pt (PBE)

Data for a relaxed LaTa2Pt crystal.

Unit cell a=2.997 b=5.056 c=11.305 alpha=90.00 beta=90.00 gamma=90.00
Space group Immm (No. 71)
Inequivalent atoms, fractional coordinates:
La 0.000 0.000 0.000 [2 per cell]
Ta 0.000 0.500 0.217 [4 per cell]
Pt 0.000 0.000 0.500 [2 per cell]

## Properties
DOS at the Fermi energy in states/eV/atom: 1.32
Total DFT energy (no corrections) in eV per atom: -8.666
DFT formation energy in eV/atom: 0.00
Energy above the lowest structure with this stoichiometry in kJ/mol of formula units: 63.8
Size of the total moment in μB per formula unit: 0.00

[9]
## ZrBi (PBE)

Data for a relaxed ZrBi crystal.

Unit cell a=3.659 b=3.659 c=3.659 alpha=90.00 beta=90.00 gamma=90.00
Space group Pm-3m (No. 221)
Inequivalent atoms, fractional coordinates:
Zr 0.000 0.000 0.000 [1 per cell]
Bi 0.500 0.500 0.500 [1 per cell]

## Properties
DOS at the Fermi energy in states/eV/atom: 1.12
Total DFT energy (no corrections) in eV per atom: -6.436
DFT formation energy in eV/atom: -0.22
Size of the total moment in μB per formula unit: 0.00

[10]
## Pm5TmPb3 (PBE)

Data for a relaxed Pm5TmPb3 crystal.

Unit cell a=9.6792 b=9.6792 c=6.7402 alpha=90.00 beta=90.00 gamma=120.00
Space group P6_3/mcm (No. 193)
Inequivalent atoms, fractional coordinates:
Pm 0.0000 0.3265 0.2500 [6 per cell]
Pm 0.3333 0.6667 0.0000 [4 per cell]
Tm 0.0000 0.0000 0.0000 [2 per cell]
Pb 0.0000 0.3378 0.7500 [6 per cell]

## Properties
DOS at the Fermi energy in states/eV/atom: 1.18
Total DFT energy (no corrections) in eV per atom: -4.771
DFT formation energy in eV/atom: -0.40
Size of the total moment in μB per formula unit: 2.90

[11]
## LaMgAg (PBE)

Data for a relaxed LaMgAg crystal.

Unit cell a=7.095 b=7.095 c=7.095 alpha=90.00 beta=90.00 gamma=90.00
Space group F-43m (No. 216)
Inequivalent atoms, fractional coordinates:
La 0.000 0.000 0.000 [4 per cell]
Mg 0.000 0.000 0.500 [4 per cell]
Ag 0.250 0.250 0.750 [4 per cell]

## Properties
DOS at the Fermi energy in states/eV/atom: 1.42
Total DFT energy (no corrections) in eV per atom: -3.219
DFT formation energy in eV/atom: -0.09
Size of the total moment in μB per formula unit: 0.00

[12]
## TiFeB4 (PBE)

Data for a relaxed TiFeB4 crystal.

Unit cell a=5.686 b=11.011 c=3.118 alpha=90.00 beta=90.00 gamma=90.00
Space group Pbam (No. 55)
Inequivalent atoms, fractional coordinates:
Ti 0.130 0.150 0.000 [4 per cell]
Fe 0.134 0.410 0.000 [4 per cell]
B 0.022 0.696 0.500 [4 per cell]
B 0.117 0.549 0.500 [4 per cell]
B 0.131 0.968 0.500 [4 per cell]
B 0.207 0.813 0.500 [4 per cell]

## Properties
DOS at the Fermi energy in states/eV/atom: 0.46
Total DFT energy (no corrections) in eV per atom: -7.745
DFT formation energy in eV/atom: -0.57
Size of the total moment in μB per formula unit: 0.00

[13]
## Mn2HRhAu (PBE)

Data for a relaxed Mn2HRhAu crystal.

Unit cell a=4.105 b=4.105 c=3.786 alpha=90.00 beta=90.00 gamma=90.00
Space group P4/mmm (No. 123)
Inequivalent atoms, fractional coordinates:
Mn 0.000 0.500 0.000 [2 per cell]
H 0.000 0.000 0.000 [1 per cell]
Rh 0.500 0.500 0.500 [1 per cell]
Au 0.000 0.000 0.500 [1 per cell]

## Properties
DOS at the Fermi energy in states/eV/atom: 0.48
Total DFT energy (no corrections) in eV per atom: -6.360
Energy above the lowest structure with this stoichiometry in kJ/mol of formula units: 0.0
Size of the total moment in μB per formula unit: 8.50

[14]
## Zr2InCu (PBE)

Data for a relaxed Zr2InCu crystal.

Unit cell a=4.370 b=4.370 c=8.354 alpha=90.00 beta=90.00 gamma=90.00
Space group I4/mmm (No. 139)
Inequivalent atoms, fractional coordinates:
Zr 0.000 0.500 0.250 [4 per cell]
In 0.000 0.000 0.000 [2 per cell]
Cu 0.000 0.000 0.500 [2 per cell]

## Properties
DOS at the Fermi energy in states/eV/atom: 0.96
Total DFT energy (no corrections) in eV per atom: -6.148
DFT formation energy in eV/atom: -0.17
Size of the total moment in μB per formula unit: 0.00

[15]
## SrSc3Ag (PBE)

Data for a relaxed SrSc3Ag crystal.

Unit cell a=5.347 b=5.347 c=5.347 alpha=90.00 beta=90.00 gamma=90.00
Space group Pm-3m (No. 221)
Inequivalent atoms, fractional coordinates:
Sr 0.000 0.000 0.000 [1 per cell]
Sc 0.000 0.500 0.500 [3 per cell]
Ag 0.500 0.500 0.500 [1 per cell]

## Properties
DOS at the Fermi energy in states/eV/atom: 2.12
Total DFT energy (no corrections) in eV per atom: -4.441
DFT formation energy in eV/atom: 0.26
Energy above the lowest structure with this stoichiometry in kJ/mol of formula units: 0.0
Size of the total moment in μB per formula unit: 0.00

[16]
## Li2Tb3Tl3 (PBE)

Data for a relaxed Li2Tb3Tl3 crystal.

Unit cell a=4.595 b=4.901 c=17.050 alpha=90.00 beta=90.00 gamma=90.00
Space group Immm (No. 71)
Inequivalent atoms, fractional coordinates:
Li 0.000 0.000 0.243 [4 per cell]
Tb 0.000 0.000 0.000 [2 per cell]
Tb 0.000 0.500 0.139 [4 per cell]
Tl 0.000 0.000 0.500 [2 per cell]
Tl 0.000 0.500 0.349 [4 per cell]

## Properties
DOS at the Fermi energy in states/eV/atom: 0.58
Total DFT energy (no corrections) in eV per atom: -3.361
DFT formation energy in eV/atom: -0.26
Size of the total moment in μB per formula unit: 0.43

[17]
## AcLaTb3Nd (PBE)

Data for a relaxed AcLaTb3Nd crystal.

Unit cell a=20.478 b=5.774 c=7.293 alpha=90.00 beta=90.23 gamma=90.00
Space group C2/m (No. 12)
Inequivalent atoms, fractional coordinates:
Ac 0.147 0.000 0.038 [4 per cell]
La 0.146 0.000 0.479 [4 per cell]
Tb 0.021 0.000 0.742 [4 per cell]
Tb 0.164 0.500 0.747 [4 per cell]
Tb 0.219 0.500 0.263 [4 per cell]
Nd 0.053 0.500 0.270 [4 per cell]

## Properties
DOS at the Fermi energy in states/eV/atom: 1.47
Total DFT energy (no corrections) in eV per atom: -4.396
DFT formation energy in eV/atom: 0.22
Size of the total moment in μB per formula unit: 0.00

[18]
## TbY7Ho3 (PBE)

Data for a relaxed TbY7Ho3 crystal.

Unit cell a=6.926 b=5.540 c=9.980 alpha=90.00 beta=110.02 gamma=90.00
Space group P2/m (No. 10)
Inequivalent atoms, fractional coordinates:
Tb 0.000 0.000 0.000 [1 per cell]
Y 0.000 0.000 0.500 [1 per cell]
Y 0.145 0.500 0.789 [2 per cell]
Y 0.321 0.500 0.139 [2 per cell]
Y 0.417 0.000 0.331 [2 per cell]
Ho 0.279 0.500 0.499 [2 per cell]
Ho 0.500 0.000 0.000 [1 per cell]

## Properties
DOS at the Fermi energy in states/eV/atom: 1.78
Total DFT energy (no corrections) in eV per atom: -5.637
DFT formation energy in eV/atom: 0.15
Energy above the lowest structure with this stoichiometry in kJ/mol of formula units: 0.0
Size of the total moment in μB per formula unit: 0.00

[19]
## Ca4PuIn5 (PBE)

Data for a relaxed Ca4PuIn5 crystal.

Unit cell a=3.835 b=3.835 c=19.285 alpha=90.00 beta=90.00 gamma=90.00
Space group P4/mmm (No. 123)
Inequivalent atoms, fractional coordinates:
Ca 0.000 0.000 0.100 [2 per cell]
Ca 0.000 0.000 0.299 [2 per cell]
Pu 0.000 0.000 0.500 [1 per cell]
In 0.500 0.500 0.000 [1 per cell]
In 0.500 0.500 0.200 [2 per cell]
In 0.500 0.500 0.400 [2 per cell]

## Properties
DOS at the Fermi energy in states/eV/atom: 1.33
Total DFT energy (no corrections) in eV per atom: -3.988
DFT formation energy in eV/atom: -0.39
Size of the total moment in μB per formula unit: 5.78

[20]
## AgHRu2 (PBE)

Data for a relaxed AgHRu2 crystal.

Unit cell a=5.959 b=5.959 c=5.959 alpha=90.00 beta=90.00 gamma=90.00
Space group Fm-3m (No. 225)
Inequivalent atoms, fractional coordinates:
Ag 0.000 0.000 0.000 [4 per cell]
H 0.000 0.000 0.500 [4 per cell]
Ru 0.250 0.250 0.250 [8 per cell]

## Properties
DOS at the Fermi energy in states/eV/atom: 1.08
Total DFT energy (no corrections) in eV per atom: -4.956
Energy above the lowest structure with this stoichiometry in kJ/mol of formula units: 231.4
Size of the total moment in μB per formula unit: 0.00